(1)
# AcTbDy2 (PBE-GGA, optimized geometry)
# theoretical density	8.4	g cm⁻³
# offset from the most stable computed form	0.36	eV/f.u.
# final energy	-17.4	eV/cell
# energy of formation from the pure elements	0.1364	eV per atom
# crystal system	cubic
data_AcTbDy2
_chemical_formula_sum 'Ac1 Tb1 Dy2'
_space_group_name_H-M_alt 'P 1'
_space_group_IT_number 1
_space_group_name_Hall 'P 1'
_cell_length_a 5.8268
_cell_length_b 5.8268
_cell_length_c 5.8268
_cell_angle_alpha 60.00
_cell_angle_beta 60.00
_cell_angle_gamma 60.00
loop_
_atom_site_label
_atom_site_fract_x
_atom_site_fract_y
_atom_site_fract_z
Dy1 0.7500 0.7500 0.7500
Dy2 0.2500 0.2500 0.2500
Tb1 0.0000 0.0000 0.0000
Ac1 0.5000 0.5000 0.5000

***

(2)
# Ac8TbDy2 (PBE-GGA, optimized geometry)
# theoretical density	8.4	g cm⁻³
# final energy	-46.1	eV/cell
# energy of formation from the pure elements	0.0516	eV per atom
# crystal system	monoclinic
data_Ac8TbDy2
_chemical_formula_sum 'Ac8 Tb1 Dy2'
_space_group_name_H-M_alt 'P 1'
_space_group_IT_number 1
_space_group_name_Hall 'P 1'
_cell_length_a 5.5322
_cell_length_b 8.6634
_cell_length_c 10.1758
_cell_angle_alpha 104.98
_cell_angle_beta 105.78
_cell_angle_gamma 90.00
loop_
_atom_site_label
_atom_site_fract_x
_atom_site_fract_y
_atom_site_fract_z
Ac1 0.0475 0.7299 0.0946
Ac2 0.3184 0.0843 0.6365
Ac3 0.9525 0.2701 0.9054
Ac4 0.5946 0.4534 0.1890
Ac5 0.6816 0.9157 0.3635
Ac6 0.1388 0.1912 0.2774
Ac7 0.8612 0.8088 0.7226
Ac8 0.4054 0.5466 0.8110
Dy1 0.2263 0.6323 0.4527
Dy2 0.7737 0.3677 0.5473
Tb1 0.5000 0.0000 0.0000

***

(3)
# Ac8Tb4Dy (PBE-GGA, optimized geometry)
# theoretical density	7.6	g cm⁻³
# final energy	-50.9	eV/cell
# energy of formation from the pure elements	0.3949	eV per atom
# crystal system	trigonal
data_Ac8Tb4Dy
_chemical_formula_sum 'Ac8 Tb4 Dy1'
_space_group_name_H-M_alt 'P 1'
_space_group_IT_number 1
_space_group_name_Hall 'P 1'
_cell_length_a 11.7642
_cell_length_b 11.7642
_cell_length_c 8.3145
_cell_angle_alpha 90.00
_cell_angle_beta 135.03
_cell_angle_gamma 120.00
loop_
_atom_site_label
_atom_site_fract_x
_atom_site_fract_y
_atom_site_fract_z
Ac1 0.9994 0.2419 0.2413
Ac2 0.4838 0.2419 0.2413
Ac3 0.0006 0.7581 0.7587
Ac4 0.9994 0.7576 0.2413
Ac5 0.5160 0.7580 0.2741
Ac6 0.0006 0.2424 0.7587
Ac7 0.5162 0.7581 0.7587
Ac8 0.4840 0.2420 0.7259
Tb1 0.0000 0.0000 0.0000
Tb2 0.0000 0.5000 0.0000
Tb3 0.5000 0.0000 0.0000
Tb4 0.5000 0.5000 0.0000
Dy1 0.0000 0.5000 0.5000

***

(4)
# AcTb5Dy12 (PBE-GGA, optimized geometry)
# theoretical density	8.5	g cm⁻³
# final energy	-82.0	eV/cell
# energy of formation from the pure elements	0.0274	eV per atom
# crystal system	monoclinic
data_AcTb5Dy12
_chemical_formula_sum 'Ac1 Tb5 Dy12'
_space_group_name_H-M_alt 'P 1'
_space_group_IT_number 1
_space_group_name_Hall 'P 1'
_cell_length_a 10.7126
_cell_length_b 10.7009
_cell_length_c 6.1774
_cell_angle_alpha 73.40
_cell_angle_beta 90.01
_cell_angle_gamma 59.97
loop_
_atom_site_label
_atom_site_fract_x
_atom_site_fract_y
_atom_site_fract_z
Dy1 0.1668 0.3335 0.5010
Dy2 0.5003 0.6665 0.4991
Dy3 0.6620 0.3380 0.9974
Dy4 0.1715 0.0000 0.5000
Dy5 0.8285 0.0000 0.5000
Dy6 0.3368 0.0000 0.0000
Dy7 0.8332 0.6666 0.4990
Dy8 0.4997 0.3335 0.5009
Dy9 0.3380 0.6620 0.0026
Dy10 0.9998 0.6621 0.0026
Dy11 0.6632 0.0000 0.0000
Dy12 0.0002 0.3379 0.9974
Ac1 0.0000 0.0000 0.0000
Tb1 0.3330 0.3339 0.0003
Tb2 0.8313 0.3376 0.4933
Tb3 0.6670 0.6661 0.9997
Tb4 0.1687 0.6624 0.5067
Tb5 0.5000 0.0000 0.5000